No. 1
# CeNdCuIr

A relaxed CeNdCuIr crystal (PBE, the Alexandria database).

a b c (Å): 5.0019 5.0019 5.0019
angles (deg): 60.00 60.00 60.00
Closest atoms and distances in Å follow each position.
Positions (direct):
Ce 0.0000 0.0000 0.0000  4 Cu 3.06, 4 Ir 3.06
Nd 0.5000 0.5000 0.5000  4 Cu 3.06, 4 Ir 3.06
Cu 0.7500 0.7500 0.7500  4 Nd 3.06, 4 Ce 3.06
Ir 0.2500 0.2500 0.2500  4 Ce 3.06, 4 Nd 3.06

Calculated values
As for the space group: No. 216.

No. 2
# Au

A relaxed Au crystal (PBE, the Alexandria database).

a b c (Å): 4.0358 4.0358 4.0358
angles (deg): 96.73 96.73 139.95
Closest atoms and distances in Å follow each position.
Positions (direct):
Au 0.3750 0.6250 0.7500  6 Au 2.76-2.77
Au 0.6250 0.3750 0.2500  6 Au 2.76-2.77

Calculated values
As for the space group: No. 141.

No. 3
# Na2Cd2InHg2

A relaxed Na2Cd2InHg2 crystal (PBE, the Alexandria database).

a b c (Å): 8.0655 8.0655 8.0655
angles (deg): 37.36 37.36 37.36
Closest atoms and distances in Å follow each position.
Positions (direct):
Na 0.1397 0.1397 0.1397  1 Hg 3.06, 1 In 3.14, 3 Cd 3.20, 3 Na 3.22
Na 0.8603 0.8603 0.8603  1 Hg 3.06, 1 In 3.14, 3 Cd 3.20, 3 Na 3.22
Cd 0.4218 0.4218 0.4218  4 Hg 3.06-3.28, 3 Na 3.20
Cd 0.5782 0.5782 0.5782  4 Hg 3.06-3.28, 3 Na 3.20
In 0.0000 0.0000 0.0000  2 Na 3.14, 6 Hg 3.25
Hg 0.2759 0.2759 0.2759  4 Cd 3.06-3.28, 1 Na 3.06, 3 In 3.25
Hg 0.7241 0.7241 0.7241  4 Cd 3.06-3.28, 1 Na 3.06, 3 In 3.25

Calculated values
As for the space group: No. 166.

no.,ΔH_f (0 K) (eV per atom)
1,-0.390
2,0.158
3,-0.095